Entry 1:
Compound: U2TcSn
Source: the Alexandria database
Functional: GGA-PBE
Structure: relaxed

For the energy above the lowest structure with this stoichiometry, the calculation gives 0.39 eV/f.u. For the formation energy, the calculation gives 0.11 eV per atom.

The structure belongs to space group R-3m (No. 166, hexagonal axes); the cell edges are 3.0636, 3.0636 and 30.2992 Å and the angles 90.00°, 90.00° and 120.00°. Symmetry generates all atoms from U at (0.0000, 0.0000, 0.2409), Tc at (0.0000, 0.0000, 0.5000) and Sn at (0.0000, 0.0000, 0.0000).

***

Entry 2:
Compound: Dy3AsP2
Source: the Alexandria database
Functional: GGA-PBE
Structure: relaxed

For the formation energy, the calculation gives -1.58 eV per atom.

The structure belongs to space group I4/mmm (No. 139); the cell edges are 4.045, 4.045 and 17.157 Å and the angles 90.00°, 90.00° and 90.00°. Symmetry generates all atoms from Dy at (0.000, 0.000, 0.000), Dy at (0.000, 0.000, 0.331), As at (0.000, 0.000, 0.500) and P at (0.000, 0.000, 0.167).

***

Entry 3:
Compound: PaTcHg2O6
Source: the Alexandria database
Functional: GGA-PBE
Structure: relaxed

As for the uncorrected formation energy: -16.4 eV/f.u.

The structure belongs to space group Fm-3m (No. 225); the cell edges are 8.313, 8.313 and 8.313 Å and the angles 90.00°, 90.00° and 90.00°. Symmetry generates all atoms from Pa at (0.000, 0.000, 0.000), Tc at (0.000, 0.000, 0.500), Hg at (0.250, 0.250, 0.250) and O at (0.000, 0.000, 0.267).

***

no.,N(E_F) (states/eV/atom),calculated total energy (eV per formula unit)
1,1.92,-36.52
2,0.12,-38.77
3,0.43,-66.60